DFT (PBEsol) results for a geometry-optimized DyNi12B6 structure.

a = 5.954 Å, b = 5.954 Å, c = 10.841 Å
α = 90.00°, β = 90.00°, γ = 104.71°
Fractional positions:
Ni 0.144 0.881 0.246
B 0.327 0.761 0.116
Ni 0.196 0.456 0.766
Ni 0.544 0.804 0.266
B 0.239 0.673 0.616
Ni 0.731 0.342 0.932
Ni 0.658 0.269 0.432
Ni 0.269 0.658 0.432
B 0.836 0.836 0.160
Ni 0.997 0.631 0.063
Ni 0.216 0.216 0.402
Ni 0.789 0.527 0.723
B 0.597 0.012 0.877
B 0.761 0.327 0.116
B 0.403 0.988 0.377
Dy 0.833 0.833 0.504
B 0.487 0.487 0.346
B 0.988 0.403 0.377
Ni 0.473 0.211 0.223
B 0.673 0.239 0.616
Ni 0.436 0.436 0.580
Ni 0.003 0.369 0.563
Ni 0.369 0.003 0.563
Ni 0.527 0.789 0.723
Ni 0.784 0.784 0.902
Ni 0.856 0.119 0.746
B 0.012 0.597 0.877
Ni 0.119 0.856 0.746
Ni 0.631 0.997 0.063
Ni 0.342 0.731 0.932
Ni 0.804 0.544 0.266
B 0.513 0.513 0.846
Dy 0.167 0.167 0.004
Ni 0.456 0.196 0.766
Ni 0.881 0.144 0.246
Ni 0.211 0.473 0.223
B 0.164 0.164 0.660
Ni 0.564 0.564 0.080

Results
total energy	-258.90	eV per cell
SG	Cmc2_1, No. 36
formation energy	-10.3	kcal/mol of atoms
N(E_F)	0.440	states/eV per atom